VASP calculation (meta-GGA SCAN) on a crystal of Fe12Pt17 relaxed with PBEsol.

## Properties
- SG: No. 217
- E_form: -0.242 eV/atom
- Energy: -48.8914 eV/atom
- DOS at the Fermi energy: 0.630 states/eV/atom
- V: 13.7 A^3/atom

a = 8.021 Å, b = 8.021 Å, c = 8.021 Å
α = 109.47°, β = 109.47°, γ = 109.47°
Fractional coordinates of all 29 atoms:
Fe 0.177 0.368 0.368
Fe 0.823 0.192 0.192
Fe 0.000 0.808 0.632
Fe 0.000 0.632 0.808
Fe 0.368 0.177 0.368
Fe 0.192 0.823 0.192
Fe 0.632 0.000 0.808
Fe 0.808 0.000 0.632
Fe 0.368 0.368 0.177
Fe 0.192 0.192 0.823
Fe 0.808 0.632 0.000
Fe 0.632 0.808 0.000
Pt 0.710 0.398 0.398
Pt 0.290 0.688 0.688
Pt 0.000 0.312 0.602
Pt 0.000 0.602 0.312
Pt 0.398 0.710 0.398
Pt 0.688 0.290 0.688
Pt 0.602 0.000 0.312
Pt 0.312 0.000 0.602
Pt 0.398 0.398 0.710
Pt 0.688 0.688 0.290
Pt 0.312 0.602 0.000
Pt 0.602 0.312 0.000
Pt 0.668 0.668 0.668
Pt 0.332 0.000 0.000
Pt 0.000 0.000 0.332
Pt 0.000 0.332 0.000
Pt 0.000 0.000 0.000



VASP calculation (meta-GGA SCAN) on a crystal of Fe8O9 relaxed with PBEsol.

## Properties
- SG: No. 1
- Energy: -13.2310 eV/atom
- DOS at the Fermi energy: 0.326 states/eV/atom
- V: 9.7 A^3/atom
- Offset from the most stable computed form: 0.0000 eV per atom

a = 5.909 Å, b = 6.620 Å, c = 8.898 Å
α = 103.50°, β = 89.61°, γ = 103.04°
Fractional coordinates of all 34 atoms:
Fe 0.513 0.992 0.000
Fe 0.844 0.333 0.894
Fe 0.176 0.673 0.770
Fe 0.494 0.005 0.659
Fe 0.316 0.313 0.873
Fe 0.655 0.655 0.443
Fe 0.668 0.683 0.785
Fe 0.811 0.335 0.551
Fe 0.016 0.022 0.680
Fe 0.183 0.657 0.454
Fe 0.495 0.013 0.345
Fe 0.835 0.313 0.212
Fe 0.019 0.005 0.329
Fe 0.144 0.677 0.106
Fe 0.306 0.326 0.225
Fe 0.680 0.676 0.110
O 0.908 0.641 0.932
O 0.261 0.993 0.836
O 0.410 0.656 0.945
O 0.611 0.336 0.743
O 0.751 0.019 0.832
O 0.915 0.675 0.613
O 0.060 0.346 0.732
O 0.238 0.989 0.501
O 0.431 0.668 0.617
O 0.579 0.334 0.377
O 0.757 0.997 0.499
O 0.917 0.661 0.283
O 0.065 0.332 0.391
O 0.267 0.003 0.165
O 0.412 0.664 0.272
O 0.597 0.337 0.046
O 0.747 0.993 0.174
O 0.086 0.343 0.050



VASP calculation (meta-GGA SCAN) on a crystal of Tc2MoRh relaxed with PBEsol.

## Properties
- SG: No. 12
- E_form: 0.157 eV/atom
- Energy: -34.5374 eV/atom
- DOS at the Fermi energy: 1.062 states/eV/atom
- V: 14.3 A^3/atom
- Offset from the most stable computed form: 0.2213 eV per atom

a = 2.635 Å, b = 4.859 Å, c = 5.207 Å
α = 116.14°, β = 101.82°, γ = 95.92°
Fractional coordinates of all 4 atoms:
Mo 0.500 0.000 0.000
Rh 0.000 0.500 0.000
Tc 0.000 0.000 0.500
Tc 0.500 0.500 0.500



VASP calculation (meta-GGA SCAN) on a crystal of K3AsS relaxed with PBEsol.

## Properties
- SG: No. 221
- Energy: -11.4509 eV/atom
- DOS at the Fermi energy: 0.993 states/eV/atom
- V: 41.3 A^3/atom

a = 5.910 Å, b = 5.910 Å, c = 5.910 Å
α = 90.00°, β = 90.00°, γ = 90.00°
Fractional coordinates of all 5 atoms:
S 0.000 0.000 0.000
As 0.500 0.500 0.500
K 0.000 0.500 0.000
K 0.000 0.000 0.500
K 0.500 0.000 0.000



VASP calculation (meta-GGA SCAN) on a crystal of YInBr2 relaxed with PBEsol.

## Properties
- SG: No. 225
- Energy: -25.7841 eV/atom
- DOS at the Fermi energy: 0.478 states/eV/atom
- V: 24.8 A^3/atom
- Offset from the most stable computed form: 0.1849 eV per atom

a = 5.196 Å, b = 5.196 Å, c = 5.196 Å
α = 60.00°, β = 60.00°, γ = 60.00°
Fractional coordinates of all 4 atoms:
Y 0.000 0.000 0.000
Br 0.250 0.250 0.250
Br 0.750 0.750 0.750
In 0.500 0.500 0.500



VASP calculation (meta-GGA SCAN) on a crystal of ScHgPb2 relaxed with PBEsol.

## Properties
- SG: No. 71
- E_form: -0.257 eV/atom
- Energy: -58.7485 eV/atom
- DOS at the Fermi energy: 0.501 states/eV/atom
- V: 24.4 A^3/atom

a = 4.514 Å, b = 4.446 Å, c = 5.804 Å
α = 112.52°, β = 112.88°, γ = 90.00°
Fractional coordinates of all 4 atoms:
Pb 0.749 0.749 0.498
Pb 0.251 0.251 0.502
Sc 0.500 0.000 0.000
Hg 0.000 0.500 0.000



VASP calculation (meta-GGA SCAN) on a crystal of Zr2FeAs relaxed with PBEsol.

## Properties
- SG: No. 139
- E_form: -0.491 eV/atom
- Energy: -25.4205 eV/atom
- DOS at the Fermi energy: 0.675 states/eV/atom
- V: 16.8 A^3/atom

a = 4.235 Å, b = 4.803 Å, c = 4.235 Å
α = 63.84°, β = 90.00°, γ = 116.16°
Fractional coordinates of all 4 atoms:
As 0.500 0.000 0.500
Fe 0.000 0.000 0.000
Zr 0.250 0.500 0.250
Zr 0.750 0.500 0.750



VASP calculation (meta-GGA SCAN) on a crystal of Mg2InPtI relaxed with PBEsol.

## Properties
- SG: No. 123
- Energy: -28.9512 eV/atom
- DOS at the Fermi energy: 0.580 states/eV/atom
- V: 32.5 A^3/atom

a = 5.268 Å, b = 5.268 Å, c = 5.854 Å
α = 90.00°, β = 90.00°, γ = 90.00°
Fractional coordinates of all 5 atoms:
I 0.000 0.000 0.000
Mg 0.000 0.500 0.000
Mg 0.500 0.000 0.000
Pt 0.500 0.500 0.500
In 0.000 0.000 0.500